A relaxed CsNaZn2 crystal, computed with PBE.

Cell lengths 8.382, 8.382, 8.382 Å; angles 90.00, 90.00, 90.00 degrees
Space group Fm-3m (No. 225)
Inequivalent atoms, fractional coordinates:
Cs (0.000, 0.000, 0.000) x4
Na (0.000, 0.000, 0.500) x4
Zn (0.250, 0.250, 0.250) x8

## Properties
Its energy above the most stable polymorph in this dataset is 0.0299 eV/atom. As for the theoretical density: 3.23 g/cm³. As for the crystal system: cubic.


A relaxed CsNaZn2 crystal, computed with PBE.

Cell lengths 5.580, 5.580, 21.239 Å; angles 90.00, 90.00, 90.00 degrees
Space group I-42d (No. 122)
Inequivalent atoms, fractional coordinates:
Cs (0.000, 0.000, 0.000) x4
Na (0.000, 0.000, 0.500) x4
Zn (0.001, 0.750, 0.625) x8

## Properties
Its energy above the most stable polymorph in this dataset is 0.0000 eV/atom. As for the theoretical density: 2.88 g/cm³. As for the crystal system: tetragonal.


A relaxed Cs2NaZn crystal, computed with PBE.

Cell lengths 9.877, 9.877, 9.877 Å; angles 90.00, 90.00, 90.00 degrees
Space group Fm-3m (No. 225)
Inequivalent atoms, fractional coordinates:
Cs (0.250, 0.250, 0.250) x8
Na (0.000, 0.000, 0.000) x4
Zn (0.000, 0.000, 0.500) x4

## Properties
Its energy above the most stable polymorph in this dataset is 0.0058 eV/atom. As for the theoretical density: 2.44 g/cm³. As for the crystal system: cubic.


A relaxed CsNa4Zn crystal, computed with PBE.

Cell lengths 10.017, 10.017, 10.017 Å; angles 90.00, 90.00, 90.00 degrees
Space group F-43m (No. 216)
Inequivalent atoms, fractional coordinates:
Cs (0.000, 0.000, 0.000) x4
Na (0.123, 0.123, 0.623) x16
Zn (0.250, 0.250, 0.250) x4

## Properties
Its energy above the most stable polymorph in this dataset is 0.1101 eV/atom. As for the theoretical density: 1.92 g/cm³. As for the crystal system: cubic.


A relaxed Cs2NaZn2 crystal, computed with PBE.

Cell lengths 9.152, 9.152, 5.590 Å; angles 90.00, 90.00, 90.00 degrees
Space group P4/mbm (No. 127)
Inequivalent atoms, fractional coordinates:
Cs (0.184, 0.316, 0.000) x4
Na (0.000, 0.000, 0.500) x2
Zn (0.105, 0.605, 0.500) x4

## Properties
As for the theoretical density: 2.98 g/cm³. As for the uncorrected energy: -0.983 eV per atom. As for the crystal system: tetragonal.


A relaxed Cs2NaZn crystal, computed with PBE.

Cell lengths 4.8247, 4.8247, 39.8861 Å; angles 90.00, 90.00, 120.00 degrees
Space group R-3m (No. 166, hexagonal axes)
Inequivalent atoms, fractional coordinates:
Cs (0.0000, 0.0000, 0.1043) x6
Na (0.0000, 0.0000, 0.0000) x3
Zn (0.0000, 0.0000, 0.5000) x3

## Properties
Its energy above the most stable polymorph in this dataset is 0.1040 eV/atom. As for the theoretical density: 2.19 g/cm³. As for the crystal system: trigonal.


A relaxed Cs2Na4Zn crystal, computed with PBE.

Cell lengths 6.043, 6.043, 21.537 Å; angles 90.00, 90.00, 90.00 degrees
Space group I4/mmm (No. 139)
Inequivalent atoms, fractional coordinates:
Cs (0.000, 0.000, 0.155) x4
Na (0.000, 0.000, 0.365) x4
Na (0.000, 0.500, 0.000) x4
Zn (0.000, 0.000, 0.500) x2

## Properties
As for the theoretical density: 1.79 g/cm³. As for the uncorrected energy: -1.072 eV per atom. As for the crystal system: tetragonal.


A relaxed CsNaZn4 crystal, computed with PBE.

Cell lengths 8.463, 8.463, 8.463 Å; angles 90.00, 90.00, 90.00 degrees
Space group F-43m (No. 216)
Inequivalent atoms, fractional coordinates:
Cs (0.000, 0.000, 0.000) x4
Na (0.250, 0.250, 0.250) x4
Zn (0.118, 0.118, 0.618) x16

## Properties
As for the theoretical density: 4.58 g/cm³. As for the uncorrected energy: -1.057 eV per atom. As for the crystal system: cubic.


> The lowest theoretical density belongs to which entry?

Cs2Na4Zn